[1]
Material: TiTl2H
Method: DFT, GGA-PBE
State: relaxed

Results
Space group = I-42d
Calculated density = 10.18 g cm⁻³
Total DFT energy (no corrections) = -3.47 eV per atom

Lattice parameters (Å, degrees): 7.0306 7.0306 5.8173 52.82 52.82 90.00
Last column: nearest neighbours and their distance in Å.
Atoms (fractional coordinates):
Ti  0.7500  0.2500  0.5000  8 Tl 2.96-3.13, 2 H 3.02
Ti  0.0000  0.0000  0.0000  8 Tl 2.96-3.13, 2 H 3.02
Tl  0.5542  0.1250  0.2500  2 H 2.29
Tl  0.8750  0.8042  0.7500  2 H 2.29
Tl  0.3750  0.4458  0.7500  2 H 2.29
Tl  0.1958  0.6250  0.2500  2 H 2.29
H  0.5000  0.5000  0.0000  4 Tl 2.29
H  0.2500  0.7500  0.5000  4 Tl 2.29

=====

[2]
Material: Tc2AgW
Method: DFT, GGA-PBE
State: relaxed

Results
Relative energy among the computed polymorphs = 131 meV per atom
Space group = P2/m
Calculated density = 12.84 g cm⁻³
Total DFT energy (no corrections) = -8.71 eV per atom

Lattice parameters (Å, degrees): 4.2000 2.7087 5.8453 71.51 90.00 90.00
Last column: nearest neighbours and their distance in Å.
Atoms (fractional coordinates):
Tc  0.0000  0.0789  0.0093  2 W 2.65, 4 Tc 2.71-2.88, 4 Ag 2.87-2.89
Tc  0.0000  0.4211  0.4907  2 W 2.65, 4 Tc 2.71-2.88, 4 Ag 2.87-2.89
Ag  0.5000  0.7500  0.7500  2 Ag 2.71, 2 W 2.80, 8 Tc 2.87-2.89
W  0.5000  0.2500  0.2500  4 Tc 2.65, 2 W 2.71, 2 Ag 2.80

=====

[3]
Material: LaMoRu2
Method: DFT, GGA-PBE
State: relaxed

Results
Relative energy among the computed polymorphs = 274 meV per atom
Space group = Fm-3m
Calculated density = 10.02 g cm⁻³
Total DFT energy (no corrections) = -8.25 eV per atom

Lattice parameters (Å, degrees): 4.6789 4.6789 4.6789 60.00 60.00 60.00
Last column: nearest neighbours and their distance in Å.
Atoms (fractional coordinates):
Ru  0.2500  0.2500  0.2500  4 La 2.87, 4 Mo 2.87
Ru  0.7500  0.7500  0.7500  4 La 2.87, 4 Mo 2.87
La  0.5000  0.5000  0.5000  8 Ru 2.87
Mo  0.0000  0.0000  0.0000  8 Ru 2.87

=====

[4]
Material: PuScTl2O8
Method: DFT, GGA-PBE
State: relaxed

Results
Space group = Cmmm
Calculated density = 7.77 g cm⁻³
Total DFT energy (no corrections) = -7.23 eV per atom

Lattice parameters (Å, degrees): 5.1672 5.1620 6.6260 90.01 90.00 93.31
Last column: nearest neighbours and their distance in Å.
Atoms (fractional coordinates):
Tl  0.5000  0.5000  0.2570  4 O 2.19-2.24
Tl  0.5000  0.5000  0.7430  4 O 2.19-2.24
O  0.7090  0.7096  0.5000  1 Sc 2.06, 2 Tl 2.19
O  0.2960  0.2950  0.0000  1 Pu 2.10, 2 Tl 2.24
O  0.8305  0.1705  0.7702  1 Pu 1.99, 1 Sc 2.20
O  0.2910  0.2904  0.5000  1 Sc 2.06, 2 Tl 2.19
O  0.1695  0.8295  0.2298  1 Pu 1.99, 1 Sc 2.20
O  0.7040  0.7050  0.0000  1 Pu 2.10, 2 Tl 2.24
O  0.8305  0.1705  0.2298  1 Pu 1.99, 1 Sc 2.20
O  0.1695  0.8295  0.7702  1 Pu 1.99, 1 Sc 2.20
Sc  0.0000  0.0000  0.5000  6 O 2.06-2.20
Pu  0.0000  0.0000  0.0000  6 O 1.99-2.10

=====

[5]
Material: Fe2W
Method: DFT, GGA-PBE
State: relaxed

Results
Space group = P6_3/mmc
Calculated density = 13.32 g cm⁻³
Total DFT energy (no corrections) = -9.99 eV per atom

Lattice parameters (Å, degrees): 4.6747 4.6747 7.7848 90.00 90.00 120.00
Last column: nearest neighbours and their distance in Å.
Atoms (fractional coordinates):
W  0.3333  0.6667  0.9308  12 Fe 2.73-2.81, 4 W 2.81-2.91
W  0.3333  0.6667  0.5692  12 Fe 2.73-2.81, 4 W 2.81-2.91
W  0.6667  0.3333  0.0692  12 Fe 2.73-2.81, 4 W 2.81-2.91
W  0.6667  0.3333  0.4308  12 Fe 2.73-2.81, 4 W 2.81-2.91
Fe  0.1703  0.8297  0.2500  6 Fe 2.29-2.39
Fe  0.0000  0.0000  0.0000  6 Fe 2.39
Fe  0.3407  0.1703  0.7500  6 Fe 2.29-2.39
Fe  0.8297  0.6593  0.7500  6 Fe 2.29-2.39
Fe  0.0000  0.0000  0.5000  6 Fe 2.39
Fe  0.1703  0.3407  0.2500  6 Fe 2.29-2.39
Fe  0.6593  0.8297  0.2500  6 Fe 2.29-2.39
Fe  0.8297  0.1703  0.7500  6 Fe 2.29-2.39

=====

[6]
Material: Ag2OsSe
Method: DFT, GGA-PBE
State: relaxed

Results
Space group = Cmmm
Calculated density = 11.39 g cm⁻³
Total DFT energy (no corrections) = -4.48 eV per atom

Lattice parameters (Å, degrees): 2.7557 2.7557 10.2428 90.00 90.00 114.67
Last column: nearest neighbours and their distance in Å.
Atoms (fractional coordinates):
Se  0.5000  0.5000  0.7500  6 Se 2.76-2.97, 4 Ag 3.08
Ag  0.0000  0.0000  0.0139  6 Ag 2.76-2.97, 2 Os 2.84, 2 Se 3.08
Ag  0.0000  0.0000  0.4861  6 Ag 2.76-2.97, 2 Os 2.84, 2 Se 3.08
Os  0.5000  0.5000  0.2500  6 Os 2.76-2.97, 4 Ag 2.84

=====

[7]
Material: CsSc2Br
Method: DFT, GGA-PBE
State: relaxed

Results
Relative energy among the computed polymorphs = 511 meV per atom
Space group = Fm-3m
Calculated density = 4.45 g cm⁻³
Total DFT energy (no corrections) = -3.14 eV per atom

Lattice parameters (Å, degrees): 5.4240 5.4240 5.4240 60.00 60.00 60.00
Last column: nearest neighbours and their distance in Å.
Atoms (fractional coordinates):
Cs  0.5000  0.5000  0.5000  8 Sc 3.32
Sc  0.7500  0.7500  0.7500  4 Br 3.32, 4 Cs 3.32
Sc  0.2500  0.2500  0.2500  4 Br 3.32, 4 Cs 3.32
Br  0.0000  0.0000  0.0000  8 Sc 3.32

=====

[8]
Material: SrNi2Cl
Method: DFT, GGA-PBE
State: relaxed

Results
Relative energy among the computed polymorphs = 156 meV per atom
Space group = C2/m
Calculated density = 4.29 g cm⁻³
Total DFT energy (no corrections) = -3.98 eV per atom

Lattice parameters (Å, degrees): 5.7712 5.7712 4.7482 107.28 107.28 38.28
Last column: nearest neighbours and their distance in Å.
Atoms (fractional coordinates):
Sr  0.7500  0.7500  0.7500  4 Cl 3.04, 6 Ni 3.06-3.15
Ni  0.4572  0.4572  0.6229  2 Ni 2.28, 1 Cl 2.39
Ni  0.0428  0.0428  0.8771  2 Ni 2.28, 1 Cl 2.39
Cl  0.2500  0.2500  0.2500  2 Ni 2.39

=====

[9]
Material: Ac2MgPt
Method: DFT, GGA-PBE
State: relaxed

Results
Relative energy among the computed polymorphs = 217 meV per atom
Space group = R-3m
Calculated density = 6.32 g cm⁻³
Total DFT energy (no corrections) = -4.30 eV per atom

Lattice parameters (Å, degrees): 4.3927 4.3927 10.8936 78.37 78.37 60.00
Last column: nearest neighbours and their distance in Å.
Atoms (fractional coordinates):
Mg  0.0000  0.0000  0.0000  2 Ac 3.67
Ac  0.8846  0.8846  0.3463  3 Pt 3.01
Ac  0.1154  0.1154  0.6537  3 Pt 3.01
Pt  0.5000  0.5000  0.5000  6 Ac 3.01

=====

[10]
Material: NpU2CoN4
Method: DFT, GGA-PBE
State: relaxed

Results
Space group = Cmcm
Calculated density = 12.91 g cm⁻³
Total DFT energy (no corrections) = -10.53 eV per atom

Lattice parameters (Å, degrees): 3.3959 5.8457 11.2165 90.00 90.00 106.89
Last column: nearest neighbours and their distance in Å.
Atoms (fractional coordinates):
U  0.6301  0.2603  0.0599  6 N 2.26-2.43
U  0.3699  0.7397  0.9401  6 N 2.26-2.43
U  0.3699  0.7397  0.5599  6 N 2.26-2.43
U  0.6301  0.2603  0.4401  6 N 2.26-2.43
N  0.7261  0.4523  0.8823  1 Co 1.97
N  0.0000  0.0000  0.0000  4 U 2.34
N  0.5473  0.0946  0.2500  2 Co 2.11, 2 U 2.32
N  0.7261  0.4523  0.6177  1 Co 1.97
N  0.0000  0.0000  0.5000  4 U 2.34
N  0.2739  0.5477  0.1177  1 Co 1.97
N  0.4527  0.9054  0.7500  2 Co 2.11, 2 U 2.32
N  0.2739  0.5477  0.3823  1 Co 1.97
Np  0.8891  0.7782  0.2500  6 N 2.45-2.60
Np  0.1109  0.2218  0.7500  6 N 2.45-2.60
Co  0.1585  0.3171  0.2500  4 N 1.97-2.11
Co  0.8415  0.6829  0.7500  4 N 1.97-2.11

=====

[11]
Material: NaCuNF2
Method: DFT, GGA-PBE
State: relaxed

Results
Relative energy among the computed polymorphs = 882 meV per atom
Space group = P4/mmm
Calculated density = 3.12 g cm⁻³
Total DFT energy (no corrections) = -3.39 eV per atom

Lattice parameters (Å, degrees): 4.1196 4.1196 4.3444 90.00 90.00 90.00
Last column: nearest neighbours and their distance in Å.
Atoms (fractional coordinates):
F  0.0000  0.5000  0.0000  2 Na 2.06
F  0.5000  0.0000  0.0000  2 Na 2.06
Na  0.0000  0.0000  0.0000  4 F 2.06, 2 N 2.17
Cu  0.5000  0.5000  0.5000  4 N 2.91, 8 F 2.99
N  0.0000  0.0000  0.5000  2 Na 2.17

=====

[12]
Material: CaZn2SiNi2
Method: DFT, GGA-PBE
State: relaxed

Results
Space group = P4/mmm
Calculated density = 5.03 g cm⁻³
Total DFT energy (no corrections) = -3.83 eV per atom

Lattice parameters (Å, degrees): 4.2922 4.2922 5.6717 90.00 90.00 90.00
Last column: nearest neighbours and their distance in Å.
Atoms (fractional coordinates):
Ni  0.0000  0.5000  0.0000  2 Si 2.15
Ni  0.5000  0.0000  0.0000  2 Si 2.15
Si  0.0000  0.0000  0.0000  4 Ni 2.15
Ca  0.0000  0.0000  0.5000  2 Si 2.84
Zn  0.5000  0.5000  0.7377  4 Ni 2.61, 1 Zn 2.70
Zn  0.5000  0.5000  0.2623  4 Ni 2.61, 1 Zn 2.70